DFT (PBE) results for a relaxed Ac2Ag2Au3 crystal.

abc: 5.9147 5.9147 7.4453
angles: 107.18 107.18 45.32
Closest atoms and distances in Å follow each position.
Fractional coordinates of all 7 atoms:
Ac 0.1337 0.1337 0.2536  4 Ag 3.21-3.36, 7 Au 3.28-3.52
Ac 0.8663 0.8663 0.7464  4 Ag 3.21-3.36, 7 Au 3.28-3.52
Ag 0.1532 0.1532 0.7136  5 Au 2.89-3.05, 3 Ac 3.21-3.22
Ag 0.8468 0.8468 0.2864  5 Au 2.89-3.05, 3 Ac 3.21-3.22
Au 0.3873 0.3873 0.0724  3 Ag 2.89-3.05, 2 Au 2.99-3.02
Au 0.5000 0.5000 0.5000  4 Ag 2.97, 2 Au 3.02
Au 0.6127 0.6127 0.9276  3 Ag 2.89-3.05, 2 Au 2.99-3.02

Computed properties:
The value obtained for the density of states at the Fermi level is 3.964 states/eV per cell. Its excess energy over the best structure of this formula in the dataset is 73 meV per atom. As for the energy of formation: -0.524 eV/atom. For the energy, the calculation gives -3.92 eV/atom.



DFT (PBE) results for a relaxed Ac2Ag5Au crystal.

abc: 8.9346 8.9346 10.0392
angles: 90.00 90.00 149.82
Closest atoms and distances in Å follow each position.
Fractional coordinates of all 16 atoms:
Ac 0.0000 0.0000 0.0000  6 Ag 3.38-3.51, 4 Au 3.56
Ac 0.0000 0.0000 0.5000  6 Ag 3.38-3.51, 4 Au 3.56
Ac 0.1982 0.8018 0.7500  11 Ag 3.35-3.64, 2 Au 3.38
Ac 0.8018 0.1982 0.2500  11 Ag 3.35-3.64, 2 Au 3.38
Ag 0.1849 0.8151 0.1122  6 Ag 2.75-3.04
Ag 0.1849 0.8151 0.3878  6 Ag 2.75-3.04
Ag 0.3481 0.6519 0.0228  4 Ag 2.75-2.96, 1 Au 2.81
Ag 0.3481 0.6519 0.4772  4 Ag 2.75-2.96, 1 Au 2.81
Ag 0.3956 0.6044 0.7500  1 Au 2.78, 6 Ag 2.86-3.04
Ag 0.6044 0.3956 0.2500  1 Au 2.78, 6 Ag 2.86-3.04
Ag 0.6519 0.3481 0.5228  4 Ag 2.75-2.96, 1 Au 2.81
Ag 0.6519 0.3481 0.9772  4 Ag 2.75-2.96, 1 Au 2.81
Ag 0.8151 0.1849 0.6122  6 Ag 2.75-3.04
Ag 0.8151 0.1849 0.8878  6 Ag 2.75-3.04
Au 0.4435 0.5565 0.2500  3 Ag 2.78-2.81
Au 0.5565 0.4435 0.7500  3 Ag 2.78-2.81

Computed properties:
The value obtained for the density of states at the Fermi level is 9.149 states/eV per cell. As for the energy of formation: -0.315 eV/atom. For the energy, the calculation gives -3.53 eV/atom.



DFT (PBE) results for a relaxed Ac2BeAg2Au4 crystal.

abc: 6.5192 6.5192 6.5192
angles: 115.71 115.71 97.61
Closest atoms and distances in Å follow each position.
Fractional coordinates of all 9 atoms:
Ac 0.2500 0.7500 0.5000  8 Au 3.26, 4 Ag 3.53
Ac 0.7500 0.2500 0.5000  8 Au 3.26, 4 Ag 3.53
Be 0.0000 0.0000 0.0000  4 Au 2.32
Ag 0.3241 0.3241 0.0000  1 Be 2.78, 4 Au 2.99, 1 Ag 3.02
Ag 0.6759 0.6759 0.0000  1 Be 2.78, 4 Au 2.99, 1 Ag 3.02
Au 0.2365 0.2365 0.4731  1 Be 2.32
Au 0.2365 0.7635 0.0000  1 Be 2.32
Au 0.7635 0.2365 0.0000  1 Be 2.32
Au 0.7635 0.7635 0.5269  1 Be 2.32

Computed properties:
The value obtained for the density of states at the Fermi level is 4.228 states/eV per cell. As for the energy of formation: -0.450 eV/atom. For the energy, the calculation gives -3.87 eV/atom.



DFT (PBE) results for a relaxed AcAgBiAu crystal.

abc: 5.3437 5.3437 5.3437
angles: 60.00 60.00 60.00
Closest atoms and distances in Å follow each position.
Fractional coordinates of all 4 atoms:
Ac 0.0000 0.0000 0.0000  4 Ag 3.27, 4 Au 3.27
Ag 0.2500 0.2500 0.2500  4 Ac 3.27, 4 Bi 3.27
Bi 0.5000 0.5000 0.5000  4 Au 3.27, 4 Ag 3.27
Au 0.7500 0.7500 0.7500  4 Ac 3.27, 4 Bi 3.27

Computed properties:
The value obtained for the density of states at the Fermi level is 1.305 states/eV per cell. As for the energy of formation: -0.494 eV/atom. For the energy, the calculation gives -4.02 eV/atom.



DFT (PBE) results for a relaxed AcCd2AgAu4 crystal.

abc: 9.5560 9.5560 9.5560
angles: 28.94 28.94 28.94
Closest atoms and distances in Å follow each position.
Fractional coordinates of all 8 atoms:
Ac 0.0000 0.0000 0.0000  8 Au 3.25-3.47
Cd 0.2360 0.2360 0.2360  7 Au 2.87-3.01
Cd 0.7640 0.7640 0.7640  7 Au 2.87-3.01
Ag 0.5000 0.5000 0.5000  8 Au 2.85-2.97
Au 0.1264 0.1264 0.1264  4 Cd 2.87-3.01, 3 Ag 2.97
Au 0.3962 0.3962 0.3962  1 Ag 2.85, 3 Cd 2.91
Au 0.6038 0.6038 0.6038  1 Ag 2.85, 3 Cd 2.91
Au 0.8736 0.8736 0.8736  4 Cd 2.87-3.01, 3 Ag 2.97

Computed properties:
The value obtained for the density of states at the Fermi level is 5.329 states/eV per cell. As for the energy of formation: -0.365 eV/atom. For the energy, the calculation gives -3.10 eV/atom.



DFT (PBE) results for a relaxed AcCdAgAu crystal.

abc: 4.9219 4.9219 5.7087
angles: 115.64 115.64 59.70
Closest atoms and distances in Å follow each position.
Fractional coordinates of all 4 atoms:
Ac 0.0000 0.0000 0.0000  4 Ag 3.22-3.33, 4 Au 3.26-3.31
Cd 0.4998 0.4998 0.4987  3 Ag 2.93-2.94, 3 Au 2.94-2.95
Ag 0.7826 0.7826 0.3485  3 Cd 2.93-2.94, 3 Au 3.22-3.24, 1 Ac 3.22
Au 0.2203 0.2203 0.6590  3 Cd 2.94-2.95, 3 Ag 3.22-3.24, 3 Ac 3.26-3.29

Computed properties:
The value obtained for the density of states at the Fermi level is 2.460 states/eV per cell. As for the energy of formation: -0.455 eV/atom. For the energy, the calculation gives -3.24 eV/atom.



DFT (PBE) results for a relaxed AcCd8AgAu2 crystal.

abc: 5.9749 5.9749 10.3421
angles: 106.03 106.03 57.20
Closest atoms and distances in Å follow each position.
Fractional coordinates of all 12 atoms:
Ac 0.0000 0.0000 0.0000  6 Cd 3.29-3.46, 4 Au 3.52
Cd 0.0860 0.5859 0.2675  5 Cd 2.86-3.07, 1 Ag 2.86, 2 Au 3.00-3.08
Cd 0.3092 0.3092 0.5104  1 Au 2.79, 4 Cd 2.98-3.10
Cd 0.3134 0.3134 0.9982  2 Au 2.83, 6 Cd 3.06-3.16
Cd 0.4141 0.9140 0.7325  5 Cd 2.86-3.07, 1 Ag 2.86, 2 Au 3.00-3.08
Cd 0.5859 0.0860 0.2675  5 Cd 2.86-3.07, 1 Ag 2.86, 2 Au 3.00-3.08
Cd 0.6866 0.6866 0.0018  2 Au 2.83, 6 Cd 3.06-3.16
Cd 0.6908 0.6908 0.4896  1 Au 2.79, 4 Cd 2.98-3.10
Cd 0.9140 0.4141 0.7325  5 Cd 2.86-3.07, 1 Ag 2.86, 2 Au 3.00-3.08
Ag 0.0000 0.0000 0.5000  4 Cd 2.86
Au 0.4368 0.4368 0.7910  7 Cd 2.79-3.08
Au 0.5632 0.5632 0.2090  7 Cd 2.79-3.08

Computed properties:
The value obtained for the density of states at the Fermi level is 4.347 states/eV per cell. As for the energy of formation: -0.118 eV/atom. For the energy, the calculation gives -1.85 eV/atom.



DFT (PBE) results for a relaxed AcCeAgAu crystal.

abc: 5.4142 5.4142 5.4142
angles: 60.00 60.00 60.00
Closest atoms and distances in Å follow each position.
Fractional coordinates of all 4 atoms:
Ac 0.0000 0.0000 0.0000  4 Ag 3.32, 4 Au 3.32
Ce 0.5000 0.5000 0.5000  4 Au 3.32, 4 Ag 3.32
Ag 0.2500 0.2500 0.2500  4 Ac 3.32, 4 Ce 3.32
Au 0.7500 0.7500 0.7500  4 Ac 3.32, 4 Ce 3.32

Computed properties:
The value obtained for the density of states at the Fermi level is 10.073 states/eV per cell. As for the energy of formation: -0.387 eV/atom. For the energy, the calculation gives -4.43 eV/atom.



DFT (PBE) results for a relaxed AcDyAgAu crystal.

abc: 5.3600 5.3600 5.3600
angles: 60.00 60.00 60.00
Closest atoms and distances in Å follow each position.
Fractional coordinates of all 4 atoms:
Ac 0.0000 0.0000 0.0000  4 Ag 3.28, 4 Au 3.28
Dy 0.5000 0.5000 0.5000  4 Ag 3.28, 4 Au 3.28
Ag 0.7500 0.7500 0.7500  4 Ac 3.28, 4 Dy 3.28
Au 0.2500 0.2500 0.2500  4 Dy 3.28, 4 Ac 3.28

Computed properties:
The value obtained for the density of states at the Fermi level is 3.566 states/eV per cell. Its excess energy over the best structure of this formula in the dataset is 57 meV per atom. As for the energy of formation: -0.491 eV/atom. For the energy, the calculation gives -4.20 eV/atom.



DFT (PBE) results for a relaxed AcDyAgAu crystal.

abc: 3.7409 3.7409 7.6470
angles: 90.00 90.00 90.00
Closest atoms and distances in Å follow each position.
Fractional coordinates of all 4 atoms:
Ac 0.0000 0.0000 0.0000  4 Au 3.42, 4 Ag 3.46, 1 Dy 3.73, 4 Ac 3.74
Dy 0.0000 0.0000 0.4881  4 Au 3.07, 4 Ag 3.14
Ag 0.5000 0.5000 0.7087  4 Dy 3.14, 1 Au 3.25, 4 Ac 3.46
Au 0.5000 0.5000 0.2841  4 Dy 3.07, 1 Ag 3.25, 4 Ac 3.42

Computed properties:
The value obtained for the density of states at the Fermi level is 1.697 states/eV per cell. Its excess energy over the best structure of this formula in the dataset is 0 meV per atom. As for the energy of formation: -0.548 eV/atom. For the energy, the calculation gives -4.26 eV/atom.



DFT (PBE) results for a relaxed AcErAgAu crystal.

abc: 5.3440 5.3440 5.3440
angles: 60.00 60.00 60.00
Closest atoms and distances in Å follow each position.
Fractional coordinates of all 4 atoms:
Ac 0.0000 0.0000 0.0000  4 Ag 3.27, 4 Au 3.27
Er 0.5000 0.5000 0.5000  4 Ag 3.27, 4 Au 3.27
Ag 0.7500 0.7500 0.7500  4 Er 3.27, 4 Ac 3.27
Au 0.2500 0.2500 0.2500  4 Er 3.27, 4 Ac 3.27

Computed properties:
The value obtained for the density of states at the Fermi level is 3.557 states/eV per cell. As for the energy of formation: -0.488 eV/atom. For the energy, the calculation gives -4.19 eV/atom.



DFT (PBE) results for a relaxed AcGa2AgAu crystal.

abc: 6.1575 6.1575 6.1575
angles: 135.74 135.74 64.39
Closest atoms and distances in Å follow each position.
Fractional coordinates of all 5 atoms:
Ac 0.0000 0.0000 0.0000  4 Au 3.49, 4 Ag 3.49, 8 Ga 3.52
Ga 0.3787 0.3787 0.0000  1 Ga 2.53, 2 Ag 2.68, 2 Au 2.68
Ga 0.6213 0.6213 0.0000  1 Ga 2.53, 2 Au 2.68, 2 Ag 2.68
Ag 0.2500 0.7500 0.5000  4 Ga 2.68
Au 0.7500 0.2500 0.5000  4 Ga 2.68

Computed properties:
The value obtained for the density of states at the Fermi level is 3.484 states/eV per cell. As for the energy of formation: -0.530 eV/atom. For the energy, the calculation gives -3.79 eV/atom.



What is the energy in the eighth record?
-4.43 eV/atom



Number 6 is which compound?
AcCdAgAu